# Dy3TmIn3Te8

An optimized crystal structure of Dy3TmIn3Te8 (GGA-PBE, Alexandria).

abc: 9.3719 9.3719 9.3719
angles: 55.64 55.64 55.64
Last column: nearest neighbours and their distance in Å.
Positions (direct):
Dy: 0.0000 0.5000 0.5000  6 Te 3.09
Dy: 0.5000 0.0000 0.5000  6 Te 3.09
Dy: 0.5000 0.5000 0.0000  6 Te 3.09
Tm: 0.0000 0.0000 0.0000  6 Te 3.07
In: 0.0000 0.0000 0.5000  6 Te 3.32-3.33
In: 0.0000 0.5000 0.0000  6 Te 3.32-3.33
In: 0.5000 0.0000 0.0000  6 Te 3.32-3.33
Te: 0.2403 0.2403 0.7428  1 Tm 3.07, 2 Dy 3.09, 2 In 3.33
Te: 0.2403 0.7428 0.2403  1 Tm 3.07, 2 Dy 3.09, 2 In 3.33
Te: 0.2572 0.7597 0.7597  1 Tm 3.07, 2 Dy 3.09, 2 In 3.33
Te: 0.2579 0.2579 0.2579  3 Dy 3.09, 3 In 3.32
Te: 0.7422 0.7422 0.7422  3 Dy 3.09, 3 In 3.32
Te: 0.7428 0.2403 0.2403  1 Tm 3.07, 2 Dy 3.09, 2 In 3.33
Te: 0.7597 0.2572 0.7597  1 Tm 3.07, 2 Dy 3.09, 2 In 3.33
Te: 0.7597 0.7597 0.2572  1 Tm 3.07, 2 Dy 3.09, 2 In 3.33

* raw formation energy: -1451 kJ/mol of formula units
* theoretical density: 6.42 Mg/m³
* DOS(E_F): 0.36 states/eV per atom
* total moment: 0.00 μB per cell